Entry 1:
Density functional theory data (PBE-GGA) for an optimized crystal structure of BaNaTa.

## Properties
Total magnetic moment (μB/f.u.): 0.00
SG: P-6m2, No. 187
Formation energy (meV per atom): 1112

abc: 5.794 5.794 7.943
angles: 90.00 90.00 120.00
Fractional coordinates of all 6 atoms:
Ba 0.000 0.000 0.233
Ba 0.000 0.000 0.767
Na 0.333 0.667 0.000
Na 0.333 0.667 0.500
Ta 0.667 0.333 0.145
Ta 0.667 0.333 0.855



Entry 2:
Density functional theory data (PBE-GGA) for an optimized crystal structure of FeCo2Tc.

## Properties
Total magnetic moment (μB/f.u.): 5.49
SG: Imm2, No. 44
Formation energy (meV per atom): 192

abc: 4.813 4.813 4.813
angles: 145.66 128.75 63.16
Fractional coordinates of all 4 atoms:
Fe 0.000 0.000 0.000
Co 0.232 0.732 0.500
Co 0.487 0.487 0.000
Tc 0.750 0.250 0.500



Entry 3:
Density functional theory data (PBE-GGA) for an optimized crystal structure of Pm3Sm2Er8.

## Properties
Total magnetic moment (μB/f.u.): 0.00
SG: C2/m, No. 12
Formation energy (meV per atom): 254

abc: 10.861 10.861 5.587
angles: 90.02 90.02 41.29
Fractional coordinates of all 13 atoms:
Pm 0.000 0.000 0.000
Pm 0.292 0.708 0.500
Pm 0.708 0.292 0.500
Sm 0.241 0.241 0.999
Sm 0.759 0.759 0.001
Er 0.132 0.132 0.500
Er 0.181 0.602 0.000
Er 0.333 0.333 0.499
Er 0.398 0.819 0.000
Er 0.602 0.181 0.000
Er 0.667 0.667 0.501
Er 0.819 0.398 0.000
Er 0.868 0.868 0.500



Entry 4:
Density functional theory data (PBE-GGA) for an optimized crystal structure of AcAl12Au4.

## Properties
Total magnetic moment (μB/f.u.): 0.00
SG: Im-3, No. 204
Formation energy (meV per atom): -119

abc: 7.782 7.782 7.782
angles: 109.47 109.47 109.47
Fractional coordinates of all 17 atoms:
Ac 0.000 0.000 0.000
Al 0.155 0.508 0.352
Al 0.155 0.803 0.648
Al 0.197 0.352 0.845
Al 0.352 0.155 0.508
Al 0.352 0.845 0.197
Al 0.492 0.648 0.845
Al 0.508 0.352 0.155
Al 0.648 0.155 0.803
Al 0.648 0.845 0.492
Al 0.803 0.648 0.155
Al 0.845 0.197 0.352
Al 0.845 0.492 0.648
Au 0.000 0.000 0.500
Au 0.000 0.500 0.000
Au 0.500 0.000 0.000
Au 0.500 0.500 0.500



Entry 5:
Density functional theory data (PBE-GGA) for an optimized crystal structure of NbCo.

## Properties
Total magnetic moment (μB/f.u.): 0.00
SG: Pm-3n, No. 223
Formation energy (meV per atom): 1396

abc: 6.661 6.661 6.661
angles: 90.00 90.00 90.00
Fractional coordinates of all 12 atoms:
Nb 0.000 0.250 0.500
Nb 0.000 0.750 0.500
Nb 0.250 0.500 0.000
Nb 0.500 0.000 0.250
Nb 0.500 0.000 0.750
Nb 0.750 0.500 0.000
Co 0.000 0.500 0.250
Co 0.000 0.500 0.750
Co 0.250 0.000 0.500
Co 0.500 0.250 0.000
Co 0.500 0.750 0.000
Co 0.750 0.000 0.500



The highest total magnetic moment belongs to which entry?
FeCo2Tc



Among the records above, which one has the highest total magnetic moment?
FeCo2Tc



What is the total magnetic moment in the fifth record?
0.00 μB/f.u.



Among the records above, which one has the highest total magnetic moment?
FeCo2Tc